Entry one
Density functional theory data (PBE) for an optimized crystal structure of TbCeTmTh.

Its space-group type is R3m, No. 160. The calculation puts the magnetization at 0.079 μB/atom.

Cell lengths 3.5380, 3.5379, 11.5298 Å; angles 90.00, 98.84, 120.00 degrees
Fractional coordinates of all 4 atoms:
Tb1 0.9690 0.3824 0.3669
Ce1 0.3035 0.5504 0.8693
Tm1 0.4716 0.1337 0.6199
Th1 0.1338 0.9643 0.1136

---

Entry two
Density functional theory data (PBE) for an optimized crystal structure of TbCeTmTh.

Its space-group type is F-43m, No. 216. The calculation puts the magnetization at 0.576 μB/atom.

Cell lengths 5.6301, 5.6301, 5.6301 Å; angles 60.00, 60.00, 60.00 degrees
Fractional coordinates of all 4 atoms:
Tm1 0.2500 0.2500 0.2500
Tb1 0.0000 0.0000 0.0000
Ce1 0.7500 0.7500 0.7500
Th1 0.5000 0.5000 0.5000

---

Each structure's energy above the most stable one, in eV/atom: entry one 0.000; entry two 0.195.